Record 1
Crystalline AlVCo at its relaxed geometry, computed with PBE-GGA. Values from VASP.

Quantum ESPRESSO input file:
```
&SYSTEM
  ibrav = 0, nat = 3, ntyp = 3
/
ATOMIC_SPECIES
Co 58.93 Co.upf
Al 26.98 Al.upf
V 50.94 V.upf
ATOMIC_POSITIONS angstrom
Co 1.2772 1.2772 6.0213
Al 1.2772 1.2772 3.5922
V 0.0000 0.0000 1.6280
CELL_PARAMETERS angstrom
2.5545 0.0000 0.0000
0.0000 2.5545 0.0000
-1.2772 -1.2772 6.6127
```

calculated formation energy: 37.9 kJ per mole of atoms



Record 2
Crystalline CaHoCdNi at its relaxed geometry, computed with PBE-GGA. Values from VASP.

Quantum ESPRESSO input file:
```
&SYSTEM
  ibrav = 0, nat = 4, ntyp = 4
/
ATOMIC_SPECIES
Ca 40.08 Ca.upf
Cd 112.41 Cd.upf
Ni 58.69 Ni.upf
Ho 164.93 Ho.upf
ATOMIC_POSITIONS angstrom
Ca -1.9642 -3.3362 -4.8522
Cd -2.9464 -5.0044 -7.2783
Ni -0.9821 -1.6681 -2.4261
Ho 0.0000 0.0000 0.0000
CELL_PARAMETERS angstrom
-3.9366 -0.9489 -3.0481
0.7804 -1.0322 -4.9004
-0.7723 -4.6914 -1.7559
```

calculated formation energy: -16.3 kJ per mole of atoms



Record 3
Crystalline Be2IrCl at its relaxed geometry, computed with PBE-GGA. Values from VASP.

Quantum ESPRESSO input file:
```
&SYSTEM
  ibrav = 0, nat = 4, ntyp = 3
/
ATOMIC_SPECIES
Be 9.01 Be.upf
Ir 192.22 Ir.upf
Cl 35.45 Cl.upf
ATOMIC_POSITIONS angstrom
Be 0.0000 0.0000 0.0000
Be 0.1059 -1.6583 -3.3436
Ir -1.6070 -1.5010 -1.3911
Cl 0.7793 -2.3076 -0.9155
CELL_PARAMETERS angstrom
-2.2803 -0.8516 -3.8192
2.4921 -2.4649 -2.8679
-1.0395 -0.4921 4.3805
```

E_form (uncorrected): 550.4 meV/atom